No. 1
DFT (PBE-GGA) results for Sm5Ge2Te2 after structural relaxation.

Computed properties:
Formation energy without anion corrections in kJ/mol of atoms: -104.3

CIF file:
```
data_Sm5Ge2Te2
_space_group_name_H-M_alt 'P 1'
_space_group_IT_number 1
_cell_length_a 8.751
_cell_length_b 8.751
_cell_length_c 8.071
_cell_angle_alpha 90.00
_cell_angle_beta 90.00
_cell_angle_gamma 54.58
loop_
_space_group_symop_operation_xyz
'x,y,z'
loop_
_atom_site_label
_atom_site_fract_x
_atom_site_fract_y
_atom_site_fract_z
_atom_site_occupancy
Sm1 0.000 0.000 0.000 1
Sm2 0.037 0.710 0.664 1
Sm3 0.210 0.537 0.164 1
Sm4 0.290 0.963 0.664 1
Sm5 0.463 0.790 0.164 1
Sm6 0.500 0.500 0.500 1
Sm7 0.537 0.210 0.836 1
Sm8 0.710 0.037 0.336 1
Sm9 0.790 0.463 0.836 1
Sm10 0.963 0.290 0.336 1
Ge1 0.139 0.861 0.363 1
Ge2 0.361 0.639 0.863 1
Ge3 0.639 0.361 0.137 1
Ge4 0.861 0.139 0.637 1
Te1 0.204 0.204 0.000 1
Te2 0.296 0.296 0.500 1
Te3 0.704 0.704 0.500 1
Te4 0.796 0.796 0.000 1
```

No. 2
DFT (PBE-GGA) results for TaBeRh after structural relaxation.

Computed properties:
Energy of formation from the pure elements in eV/atom: 0.080

CIF file:
```
data_TaBeRh
_space_group_name_H-M_alt 'P 1'
_space_group_IT_number 1
_cell_length_a 4.122
_cell_length_b 4.122
_cell_length_c 4.122
_cell_angle_alpha 60.00
_cell_angle_beta 60.00
_cell_angle_gamma 60.00
loop_
_space_group_symop_operation_xyz
'x,y,z'
loop_
_atom_site_label
_atom_site_fract_x
_atom_site_fract_y
_atom_site_fract_z
_atom_site_occupancy
Ta1 0.000 0.000 0.000 1
Be1 0.500 0.500 0.500 1
Rh1 0.750 0.750 0.750 1
```

No. 3
DFT (PBE-GGA) results for Mn2Zn2Au3 after structural relaxation.

Computed properties:
Energy of formation from the pure elements in eV/atom: -0.039

CIF file:
```
data_Mn2Zn2Au3
_space_group_name_H-M_alt 'P 1'
_space_group_IT_number 1
_cell_length_a 10.842
_cell_length_b 10.842
_cell_length_c 3.097
_cell_angle_alpha 90.00
_cell_angle_beta 90.00
_cell_angle_gamma 161.25
loop_
_space_group_symop_operation_xyz
'x,y,z'
loop_
_atom_site_label
_atom_site_fract_x
_atom_site_fract_y
_atom_site_fract_z
_atom_site_occupancy
Mn1 0.071 0.929 0.000 1
Mn2 0.929 0.071 0.000 1
Zn1 0.207 0.793 0.000 1
Zn2 0.793 0.207 0.000 1
Au1 0.356 0.644 0.500 1
Au2 0.500 0.500 0.500 1
Au3 0.644 0.356 0.500 1
```

No. 4
DFT (PBE-GGA) results for BeNb2Re after structural relaxation.

Computed properties:
Energy of formation from the pure elements in eV/atom: 0.579

CIF file:
```
data_BeNb2Re
_space_group_name_H-M_alt 'P 1'
_space_group_IT_number 1
_cell_length_a 5.608
_cell_length_b 5.608
_cell_length_c 5.608
_cell_angle_alpha 101.97
_cell_angle_beta 101.97
_cell_angle_gamma 125.81
loop_
_space_group_symop_operation_xyz
'x,y,z'
loop_
_atom_site_label
_atom_site_fract_x
_atom_site_fract_y
_atom_site_fract_z
_atom_site_occupancy
Be1 0.000 0.000 0.000 1
Be2 0.750 0.250 0.500 1
Nb1 0.099 0.125 0.474 1
Nb2 0.375 0.901 0.026 1
Nb3 0.651 0.625 0.526 1
Nb4 0.875 0.349 0.974 1
Re1 0.250 0.750 0.500 1
Re2 0.500 0.500 0.000 1
```

Total moment? In order: 0.0 1.0 8.2 0.0 μB per formula unit.